First-principles (PBE+U) data for Cs2MnCuO4 after structural relaxation, as listed in the Alexandria database.

It has space group Fddd (No. 70, origin choice 2), with a = 4.996 Å, b = 12.504 Å, c = 21.545 Å, α = 90.00°, β = 90.00° and γ = 90.00°. The inequivalent atoms are Cs at (0.125, 0.125, 0.297), Mn at (0.125, 0.125, 0.625), Cu at (0.125, 0.125, 0.125) and O at (0.087, 0.293, 0.830).

As for the total moment: 0.2422 μB/atom. Its total energy is -338.287 eV for the cell shown.